No. 1
First-principles (PBE-GGA) data for AcZn5Cu7 after structural relaxation, as listed in Alexandria.

Computed properties:
Symmetry: Imm2, No. 44
Calculated formation energy, eV per atom: -0.085

POSCAR file:
```
AcZn5Cu7
1.0
-3.824 -2.577 1.713
-3.138 -3.384 -5.033
1.911 -6.280 1.883
Zn Cu Ac
5 7 1
Cartesian
-0.968 -4.415 1.776 Zn
0.935 -3.133 0.923 Zn
-3.462 -2.985 -1.641 Zn
-3.781 -9.202 -1.093 Zn
-1.559 -1.703 -2.493 Zn
-2.152 -7.140 -1.418 Cu
-2.885 -5.139 -0.046 Cu
-1.278 -3.018 -0.331 Cu
-3.808 -5.383 -2.473 Cu
-1.245 -6.854 1.038 Cu
0.097 -5.221 -0.574 Cu
-1.341 -4.396 -2.545 Cu
-3.811 -2.612 1.688 Ac
```

---

No. 2
First-principles (PBE-GGA) data for Ac2ZnCu5 after structural relaxation, as listed in Alexandria.

Computed properties:
Symmetry: I4mm, No. 107
Calculated formation energy, eV per atom: -0.030

POSCAR file:
```
Ac2ZnCu5
1.0
-1.214 4.478 -4.361
-2.530 -5.834 -0.336
-2.414 0.259 5.886
Cu Ac Zn
5 2 1
Cartesian
-2.413 -3.967 1.382 Cu
-2.365 -1.421 3.982 Cu
-3.930 -1.988 2.019 Cu
-2.063 1.077 -1.016 Cu
-1.510 -1.702 1.695 Cu
-3.002 -1.952 -1.081 Ac
-2.944 1.094 2.031 Ac
-0.132 -0.149 0.149 Zn
```

---

No. 3
First-principles (PBE-GGA) data for Ac2Zn2Cu after structural relaxation, as listed in Alexandria.

Computed properties:
Symmetry: P-1, No. 2
Calculated formation energy, eV per atom: -0.224

POSCAR file:
```
Ac2Zn2Cu
1.0
4.583 -0.006 0.862
2.281 5.540 0.396
0.391 0.085 10.540
Zn Cu Ac
4 2 4
Cartesian
2.072 0.643 1.613 Zn
1.193 1.747 6.250 Zn
5.182 4.975 10.185 Zn
6.061 3.871 5.548 Zn
3.943 4.710 4.194 Cu
3.312 0.908 7.604 Cu
2.070 3.907 1.532 Ac
3.913 1.472 4.390 Ac
3.342 4.146 7.408 Ac
5.184 1.711 10.267 Ac
```

---

Number 1: density of states at the Fermi level 6.29 states/eV/f.u., volume 15.36 A^3/atom, total moment 0.00 Bohr magnetons per cell. Number 2: density of states at the Fermi level 3.80 states/eV/f.u., volume 22.02 A^3/atom, total moment 0.00 Bohr magnetons per cell. Number 3: density of states at the Fermi level 4.67 states/eV/f.u., volume 26.59 A^3/atom, total moment 0.00 Bohr magnetons per cell.